Record 1
Material: CePm2PrNd6
Method: DFT, PBE
State: relaxed

Summary:
calculated formation energy = 0.2272 eV per atom

a b c (Å): 11.511 6.989 9.048
angles (deg): 90.00 104.44 90.00
Space group C2/m (No. 12)
Inequivalent atoms, fractional coordinates:
Ce 0.000 0.000 0.000 [2 per cell]
Pm 0.089 0.500 0.161 [4 per cell]
Pr 0.000 0.500 0.500 [2 per cell]
Nd 0.125 0.000 0.414 [4 per cell]
Nd 0.176 0.262 0.801 [8 per cell]

Record 2
Material: La2MnHg
Method: DFT, PBE
State: relaxed

Summary:
calculated formation energy = 0.1964 eV per atom

a b c (Å): 3.6654 3.6654 29.6947
angles (deg): 90.00 90.00 120.00
Space group R3m (No. 160, hexagonal axes)
Inequivalent atoms, fractional coordinates:
La 0.0000 0.0000 0.0000 [3 per cell]
La 0.0000 0.0000 0.2288 [3 per cell]
Mn 0.0000 0.0000 0.4825 [3 per cell]
Hg 0.0000 0.0000 0.7540 [3 per cell]

Record 3
Material: TbAl2Ni2Pt
Method: DFT, PBE
State: relaxed

Summary:
calculated formation energy = -0.2471 eV per atom

a b c (Å): 4.634 4.634 5.368
angles (deg): 90.00 90.00 90.00
Space group P4/mmm (No. 123)
Inequivalent atoms, fractional coordinates:
Tb 0.000 0.000 0.000 [1 per cell]
Al 0.000 0.500 0.500 [2 per cell]
Ni 0.500 0.500 0.240 [2 per cell]
Pt 0.000 0.000 0.500 [1 per cell]

Record 4
Material: LiLa2Sb3Pt4
Method: DFT, PBE
State: relaxed

Summary:
uncorrected formation energy = -901 kJ/mol of formula units

a b c (Å): 4.579 4.579 10.593
angles (deg): 90.00 90.00 90.00
Space group P-4m2 (No. 115)
Inequivalent atoms, fractional coordinates:
Li 0.000 0.000 0.000 [1 per cell]
La 0.000 0.500 0.741 [2 per cell]
Sb 0.000 0.500 0.366 [2 per cell]
Sb 0.500 0.500 0.000 [1 per cell]
Pt 0.000 0.000 0.500 [1 per cell]
Pt 0.000 0.500 0.122 [2 per cell]
Pt 0.500 0.500 0.500 [1 per cell]

Let's list V in order: 35.25, 28.79, 19.21, 22.21 Å³ per atom.
Let's list N(E_F) in order: 43.62, 12.65, 2.38, 4.82 states/eV/cell.